(1)
Compound: U7Se12O2
Source: the Alexandria database
Functional: PBE
Structure: relaxed

Cell lengths 11.3820, 11.3820, 4.1126 Å; angles 90.00, 90.00, 120.00 degrees
Space group P-6 (No. 174)
Asymmetric unit:
U 0.0000 0.0000 0.0000 x1
U 0.1732 0.7193 0.5000 x3
U 0.4503 0.1779 0.0000 x3
Se 0.0187 0.7562 0.0000 x3
Se 0.1167 0.4969 0.0000 x3
Se 0.2186 0.0153 0.5000 x3
Se 0.5120 0.3949 0.5000 x3
O 0.3333 0.6667 0.5000 x1
O 0.6667 0.3333 0.0000 x1

## Properties
**DOS(E_F)**: 2.128 states/eV/atom
**Formation energy (no corrections)**: -30.01 eV/f.u.
**Volume**: 461 Å³ per cell


(2)
Compound: U3Se3O
Source: the Alexandria database
Functional: PBE
Structure: relaxed

Cell lengths 9.5576, 9.5576, 5.9064 Å; angles 90.00, 90.00, 120.00 degrees
Space group R3m (No. 160, hexagonal axes)
Asymmetric unit:
U 0.0680 0.5340 0.0000 x9
Se 0.0666 0.5333 0.5030 x9
O 0.0000 0.0000 0.3258 x3

## Properties
**DOS(E_F)**: 1.883 states/eV/atom
**Formation energy (no corrections)**: -9.69 eV/f.u.
**Volume**: 467 Å³ per cell